# SrTi2Au

Crystalline SrTi2Au at its relaxed geometry (PBE, Alexandria via LeMat-Bulk).

The space group is Fm-3m, No. 225. Its excess energy over the best structure of this formula in the dataset is 43 meV per atom.

Structure (CIF):
```
data_SrTi2Au
_symmetry_space_group_name_H-M 'P 1'
_symmetry_Int_Tables_number 1
_cell_length_a 4.844
_cell_length_b 4.844
_cell_length_c 4.844
_cell_angle_alpha 60.00
_cell_angle_beta 60.00
_cell_angle_gamma 60.00
loop_
_symmetry_equiv_pos_as_xyz
'x,y,z'
loop_
_atom_site_label
_atom_site_type_symbol
_atom_site_fract_x
_atom_site_fract_y
_atom_site_fract_z
_atom_site_occupancy
Sr1 Sr 0.000 0.000 0.000 1
Ti1 Ti 0.250 0.250 0.250 1
Ti2 Ti 0.750 0.750 0.750 1
Au1 Au 0.500 0.500 0.500 1
```

---

# SrTi2Au2

Crystalline SrTi2Au2 at its relaxed geometry (PBE, Alexandria via LeMat-Bulk).

The space group is P4/mbm, No. 127. Its excess energy over the best structure of this formula in the dataset is 57 meV per atom.

Structure (CIF):
```
data_SrTi2Au2
_symmetry_space_group_name_H-M 'P 1'
_symmetry_Int_Tables_number 1
_cell_length_a 8.204
_cell_length_b 8.204
_cell_length_c 3.090
_cell_angle_alpha 90.00
_cell_angle_beta 90.00
_cell_angle_gamma 90.00
loop_
_symmetry_equiv_pos_as_xyz
'x,y,z'
loop_
_atom_site_label
_atom_site_type_symbol
_atom_site_fract_x
_atom_site_fract_y
_atom_site_fract_z
_atom_site_occupancy
Sr1 Sr 0.000 0.000 0.000 1
Sr2 Sr 0.500 0.500 0.000 1
Ti1 Ti 0.112 0.388 0.000 1
Ti2 Ti 0.388 0.888 0.000 1
Ti3 Ti 0.612 0.112 0.000 1
Ti4 Ti 0.888 0.612 0.000 1
Au1 Au 0.179 0.679 0.500 1
Au2 Au 0.321 0.179 0.500 1
Au3 Au 0.679 0.821 0.500 1
Au4 Au 0.821 0.321 0.500 1
```

---

# Sr3TiAu

Crystalline Sr3TiAu at its relaxed geometry (PBE, Alexandria via LeMat-Bulk).

The space group is Pm-3m, No. 221. Its excess energy over the best structure of this formula in the dataset is 0 meV per atom.

Structure (CIF):
```
data_Sr3TiAu
_symmetry_space_group_name_H-M 'P 1'
_symmetry_Int_Tables_number 1
_cell_length_a 5.994
_cell_length_b 5.994
_cell_length_c 5.994
_cell_angle_alpha 90.00
_cell_angle_beta 90.00
_cell_angle_gamma 90.00
loop_
_symmetry_equiv_pos_as_xyz
'x,y,z'
loop_
_atom_site_label
_atom_site_type_symbol
_atom_site_fract_x
_atom_site_fract_y
_atom_site_fract_z
_atom_site_occupancy
Sr1 Sr 0.000 0.000 0.500 1
Sr2 Sr 0.000 0.500 0.000 1
Sr3 Sr 0.500 0.000 0.000 1
Ti1 Ti 0.500 0.500 0.500 1
Au1 Au 0.000 0.000 0.000 1
```

---

# Sr2TiAu2

Crystalline Sr2TiAu2 at its relaxed geometry (PBE, Alexandria via LeMat-Bulk).

The space group is P4/mbm, No. 127.

Structure (CIF):
```
data_Sr2TiAu2
_symmetry_space_group_name_H-M 'P 1'
_symmetry_Int_Tables_number 1
_cell_length_a 7.540
_cell_length_b 7.540
_cell_length_c 4.816
_cell_angle_alpha 90.00
_cell_angle_beta 90.00
_cell_angle_gamma 90.00
loop_
_symmetry_equiv_pos_as_xyz
'x,y,z'
loop_
_atom_site_label
_atom_site_type_symbol
_atom_site_fract_x
_atom_site_fract_y
_atom_site_fract_z
_atom_site_occupancy
Sr1 Sr 0.170 0.330 0.000 1
Sr2 Sr 0.330 0.830 0.000 1
Sr3 Sr 0.670 0.170 0.000 1
Sr4 Sr 0.830 0.670 0.000 1
Ti1 Ti 0.000 0.000 0.500 1
Ti2 Ti 0.500 0.500 0.500 1
Au1 Au 0.141 0.641 0.500 1
Au2 Au 0.359 0.141 0.500 1
Au3 Au 0.641 0.859 0.500 1
Au4 Au 0.859 0.359 0.500 1
```

---

# SrTiAu2

Crystalline SrTiAu2 at its relaxed geometry (PBE, Alexandria via LeMat-Bulk).

The space group is P4/mmm, No. 123. Its excess energy over the best structure of this formula in the dataset is 0 meV per atom.

Structure (CIF):
```
data_SrTiAu2
_symmetry_space_group_name_H-M 'P 1'
_symmetry_Int_Tables_number 1
_cell_length_a 3.436
_cell_length_b 3.436
_cell_length_c 7.462
_cell_angle_alpha 90.00
_cell_angle_beta 90.00
_cell_angle_gamma 90.00
loop_
_symmetry_equiv_pos_as_xyz
'x,y,z'
loop_
_atom_site_label
_atom_site_type_symbol
_atom_site_fract_x
_atom_site_fract_y
_atom_site_fract_z
_atom_site_occupancy
Sr1 Sr 0.000 0.000 0.000 1
Ti1 Ti 0.000 0.000 0.500 1
Au1 Au 0.500 0.500 0.304 1
Au2 Au 0.500 0.500 0.696 1
```

---

# SrTi2Au

Crystalline SrTi2Au at its relaxed geometry (PBE, Alexandria via LeMat-Bulk).

The space group is I-42d, No. 122. Its excess energy over the best structure of this formula in the dataset is 0 meV per atom.

Structure (CIF):
```
data_SrTi2Au
_symmetry_space_group_name_H-M 'P 1'
_symmetry_Int_Tables_number 1
_cell_length_a 10.850
_cell_length_b 10.850
_cell_length_c 10.850
_cell_angle_alpha 155.92
_cell_angle_beta 155.92
_cell_angle_gamma 34.32
loop_
_symmetry_equiv_pos_as_xyz
'x,y,z'
loop_
_atom_site_label
_atom_site_type_symbol
_atom_site_fract_x
_atom_site_fract_y
_atom_site_fract_z
_atom_site_occupancy
Sr1 Sr 0.000 0.000 0.000 1
Sr2 Sr 0.750 0.250 0.500 1
Ti1 Ti 0.339 0.625 0.214 1
Ti2 Ti 0.375 0.589 0.714 1
Ti3 Ti 0.411 0.125 0.786 1
Ti4 Ti 0.875 0.661 0.286 1
Au1 Au 0.250 0.750 0.500 1
Au2 Au 0.500 0.500 0.000 1
```

---

The evaluated energy relative to the elements for the records listed, in turn: 0.424; -0.202; 0.231; -0.313; -0.421; 0.380 eV/atom.
The evaluated magnetic moment for the records listed, in turn: 0.00; 0.44; 0.64; 0.40; 0.15; 0.00 μB/atom.